A plane-wave DFT calculation with PBE was carried out for a relaxed structure of Ac3AuO3.

```
14
Lattice="6.7778 0.0003 2.6940 2.8536 6.1480 2.6944 0.4394 0.2810 8.7685" Properties=species:S:1:pos:R:3 pbc="T T T"
O 3.0983 3.4678 5.3520
O 6.6466 1.3512 6.2252
O 3.4242 5.0780 7.9317
O 6.3570 5.4609 7.1530
O 6.9725 2.9614 8.8049
O 3.7138 0.9684 7.0039
Ac 5.7385 0.7956 8.4979
Ac 5.4412 4.8709 9.4139
Ac 4.3323 5.6336 5.6591
Ac 2.2157 2.8853 7.6279
Ac 7.8551 3.5439 6.5290
Ac 4.6296 1.5583 4.7430
Au 6.8605 4.3799 12.3608
Au 3.2103 2.0494 1.7961
```

Calculated values
V: 25.366 A^3/atom
energy relative to the elements, uncorrected: -2517 meV per atom
electronic total energy: -6.871 eV/atom
density: 8.66 g/cm3